Here is DyVSn2 after structural relaxation from Alexandria via LeMat-Bulk. Energies are from PBE-GGA.

Geometry as POSCAR:
```
DyVSn2
1.0
-4.0378 1.9617 -1.1249
-3.5192 -0.0617 3.0048
-0.9277 5.0293 2.5806
V Sn Dy
1 2 1
direct
0.0000 0.0000 0.0000 V
0.2693 0.2693 0.1921 Sn
0.7307 0.7307 0.8079 Sn
0.5000 0.5000 0.5000 Dy
```

**Total energy**: -22.52 eV per cell
**D(E_F)**: 2.8 states/eV/cell